1.
Material: Pr2SmY4Tm2
Method: DFT, PBE
State: relaxed

abc: 6.835 10.036 6.647
angles: 121.31 126.99 59.09
Positions (direct):
Pr: 0.269 0.655 0.602
Pr: 0.731 0.345 0.398
Sm: 0.000 0.000 0.000
Y: 0.743 0.884 0.203
Y: 0.614 0.760 0.505
Y: 0.257 0.116 0.797
Y: 0.386 0.240 0.495
Tm: 0.821 0.447 0.035
Tm: 0.179 0.553 0.965

Results
Fermi-level density of states, states/eV/f.u.: 14.34
Symmetry: P-1 (2)
DFT total energy, eV per formula unit: -48.4



2.
Material: Pr2Sm2Y4Tm
Method: DFT, PBE
State: relaxed

abc: 3.639 9.615 9.677
angles: 115.20 90.00 100.91
Positions (direct):
Pr: 0.335 0.671 0.001
Pr: 0.665 0.329 0.999
Sm: 0.852 0.705 0.337
Sm: 0.148 0.295 0.663
Y: 0.815 0.630 0.665
Y: 0.185 0.370 0.335
Y: 0.519 0.039 0.332
Y: 0.481 0.961 0.668
Tm: 0.000 0.000 0.000

Results
Fermi-level density of states, states/eV/f.u.: 13.03
Symmetry: C2/m (12)
DFT total energy, eV per formula unit: -49.3



3.
Material: Pr5Sm2YTm
Method: DFT, PBE
State: relaxed

abc: 8.606 8.606 10.515
angles: 114.16 114.16 90.00
Positions (direct):
Pr: 0.925 0.425 0.286
Pr: 0.639 0.139 0.714
Pr: 0.075 0.575 0.714
Pr: 0.139 0.075 0.714
Pr: 0.575 0.639 0.714
Pr: 0.861 0.925 0.286
Pr: 0.425 0.361 0.286
Pr: 0.361 0.861 0.286
Pr: 0.500 0.500 0.000
Pr: 0.000 0.000 0.000
Sm: 0.123 0.377 0.000
Sm: 0.623 0.123 0.000
Sm: 0.377 0.877 0.000
Sm: 0.877 0.623 0.000
Y: 0.250 0.250 0.500
Y: 0.750 0.750 0.500
Tm: 0.250 0.750 0.500
Tm: 0.750 0.250 0.500

Results
Fermi-level density of states, states/eV/f.u.: 14.04
Symmetry: I4/mcm (140)
DFT total energy, eV per formula unit: -41.7



4.
Material: PrSmYTm3
Method: DFT, PBE
State: relaxed

abc: 5.833 6.395 11.671
angles: 90.00 90.00 117.13
Positions (direct):
Pr: 0.000 0.000 0.500
Pr: 0.000 0.000 0.000
Sm: 0.505 0.010 0.750
Sm: 0.495 0.990 0.250
Y: 0.825 0.649 0.750
Y: 0.175 0.351 0.250
Tm: 0.672 0.344 0.495
Tm: 0.328 0.656 0.505
Tm: 0.328 0.656 0.995
Tm: 0.672 0.344 0.005
Tm: 0.170 0.341 0.750
Tm: 0.830 0.659 0.250

Results
Fermi-level density of states, states/eV/f.u.: 12.39
Symmetry: Cmcm (63)
DFT total energy, eV per formula unit: -28.7



Question: DFT total energy of number 4 (PrSmYTm3)?
Answer: -28.7 eV per formula unit



Question: Among the records above, which one has the highest Fermi-level density of states?
Answer: Pr2SmY4Tm2